Entry 1:
First-principles (PBE) data for a relaxed CaPrTm2 crystal, as listed in Alexandria.

Cell lengths 3.6501, 3.6501, 10.3168 Å; angles 90.00, 90.00, 90.00 degrees
Space group P4/mmm (No. 123)
One atom of each set of equivalent atoms:
1 Ca 0.0000 0.0000 0.0000 [1 per cell]
2 Pr 0.0000 0.0000 0.5000 [1 per cell]
3 Tm 0.5000 0.5000 0.2659 [2 per cell]

Results
Theoretical density in g cm⁻³: 6.3
Fermi-level density of states in states/eV per cell: 6.31
Calculated total energy in eV/f.u.: -15.4
Energy above the lowest structure with this stoichiometry in meV per atom: 16
E_form in eV/atom: 0.092

Entry 2:
First-principles (PBE) data for a relaxed CaPr2Tm crystal, as listed in Alexandria.

Cell lengths 3.6646, 3.6646, 36.6136 Å; angles 90.00, 90.00, 120.00 degrees
Space group R-3m (No. 166, hexagonal axes)
One atom of each set of equivalent atoms:
1 Ca 0.0000 0.0000 0.0000 [3 per cell]
2 Pr 0.0000 0.0000 0.2447 [6 per cell]
3 Tm 0.0000 0.0000 0.5000 [3 per cell]

Results
Theoretical density in g cm⁻³: 5.7
Fermi-level density of states in states/eV per cell: 15.14
Calculated total energy in eV/f.u.: -15.9
Energy above the lowest structure with this stoichiometry in meV per atom: 0
E_form in eV/atom: 0.032

Entry 3:
First-principles (PBE) data for a relaxed Ca3Pr12Tm crystal, as listed in Alexandria.

Cell lengths 5.2507, 5.2507, 21.0312 Å; angles 90.00, 90.00, 90.00 degrees
Space group P4/mmm (No. 123)
One atom of each set of equivalent atoms:
1 Ca 0.0000 0.0000 0.0000 [1 per cell]
2 Ca 0.0000 0.0000 0.2527 [2 per cell]
3 Pr 0.0000 0.5000 0.1263 [4 per cell]
4 Pr 0.0000 0.5000 0.3801 [4 per cell]
5 Pr 0.5000 0.5000 0.0000 [1 per cell]
6 Pr 0.5000 0.5000 0.2520 [2 per cell]
7 Pr 0.5000 0.5000 0.5000 [1 per cell]
8 Tm 0.0000 0.0000 0.5000 [1 per cell]

Results
Theoretical density in g cm⁻³: 5.7
Fermi-level density of states in states/eV per cell: 23.77
Calculated total energy in eV/f.u.: -67.1
E_form in eV/atom: 0.047

Entry 4:
First-principles (PBE) data for a relaxed CaPr2Tm crystal, as listed in Alexandria.

Cell lengths 3.6094, 3.6094, 38.6473 Å; angles 90.00, 90.00, 120.00 degrees
Space group R-3m (No. 166, hexagonal axes)
One atom of each set of equivalent atoms:
1 Ca 0.0000 0.0000 0.0000 [3 per cell]
2 Pr 0.0000 0.0000 0.0922 [6 per cell]
3 Tm 0.0000 0.0000 0.5000 [3 per cell]

Results
Theoretical density in g cm⁻³: 5.6
Fermi-level density of states in states/eV per cell: 14.11
Calculated total energy in eV/f.u.: -15.5
Energy above the lowest structure with this stoichiometry in meV per atom: 95
E_form in eV/atom: 0.127

Entry 5:
First-principles (PBE) data for a relaxed CaPrTm2 crystal, as listed in Alexandria.

Cell lengths 8.1415, 8.1415, 8.1415 Å; angles 90.00, 90.00, 90.00 degrees
Space group Fm-3m (No. 225)
One atom of each set of equivalent atoms:
1 Ca 0.0000 0.0000 0.0000 [4 per cell]
2 Pr 0.0000 0.0000 0.5000 [4 per cell]
3 Tm 0.2500 0.2500 0.2500 [8 per cell]

Results
Theoretical density in g cm⁻³: 6.4
Fermi-level density of states in states/eV per cell: 25.01
Calculated total energy in eV/f.u.: -15.1
Energy above the lowest structure with this stoichiometry in meV per atom: 89
E_form in eV/atom: 0.165

Entry 6:
First-principles (PBE) data for a relaxed CaPr2Tm2 crystal, as listed in Alexandria.

Cell lengths 5.5529, 17.7388, 3.5681 Å; angles 90.00, 90.00, 90.00 degrees
Space group Cmmm (No. 65)
One atom of each set of equivalent atoms:
1 Ca 0.0000 0.0000 0.0000 [2 per cell]
2 Pr 0.0000 0.3766 0.5000 [4 per cell]
3 Tm 0.0000 0.2010 0.0000 [4 per cell]

Results
Theoretical density in g cm⁻³: 6.2
Fermi-level density of states in states/eV per cell: 11.68
Calculated total energy in eV/f.u.: -20.4
E_form in eV/atom: 0.030

Copy entry 4 word for word.
First-principles (PBE) data for a relaxed CaPr2Tm crystal, as listed in Alexandria.

Cell lengths 3.6094, 3.6094, 38.6473 Å; angles 90.00, 90.00, 120.00 degrees
Space group R-3m (No. 166, hexagonal axes)
One atom of each set of equivalent atoms:
1 Ca 0.0000 0.0000 0.0000 [3 per cell]
2 Pr 0.0000 0.0000 0.0922 [6 per cell]
3 Tm 0.0000 0.0000 0.5000 [3 per cell]

Results
Theoretical density in g cm⁻³: 5.6
Fermi-level density of states in states/eV per cell: 14.11
Calculated total energy in eV/f.u.: -15.5
Energy above the lowest structure with this stoichiometry in meV per atom: 95
E_form in eV/atom: 0.127